[1]
Compound: Dy3HoZn
Source: Alexandria via LeMat-Bulk
Functional: GGA-PBE
Structure: relaxed

Output
Symmetry ... C2/m (12)
DFT formation energy ... 0.30 eV per formula unit
ΔE to the lowest computed polymorph ... 88 kJ/mol of formula units
Total energy ... -38.722 eV for the cell shown
V ... 30.38 Å³/atom
N(E_F) ... 15.18 states/eV per cell

Geometry as CIF:
```
data_Dy3HoZn
_chemical_formula_sum 'Dy6 Ho2 Zn2'
_cell_length_a 7.065
_cell_length_b 7.065
_cell_length_c 7.668
_cell_angle_alpha 116.59
_cell_angle_beta 116.59
_cell_angle_gamma 72.74
_space_group_name_H-M_alt 'P 1'
_space_group_IT_number 1
loop_
_space_group_symop_operation_xyz
'x,y,z'
loop_
_atom_site_label
_atom_site_type_symbol
_atom_site_fract_x
_atom_site_fract_y
_atom_site_fract_z
Dy1 Dy 0.047 0.047 0.308
Dy2 Dy 0.110 0.516 0.291
Dy3 Dy 0.484 0.890 0.709
Dy4 Dy 0.516 0.110 0.291
Dy5 Dy 0.890 0.484 0.709
Dy6 Dy 0.953 0.953 0.692
Ho1 Ho 0.419 0.419 0.731
Ho2 Ho 0.581 0.581 0.269
Zn1 Zn 0.269 0.269 0.941
Zn2 Zn 0.731 0.731 0.059
```



[2]
Compound: Cr2CoAg
Source: Alexandria via LeMat-Bulk
Functional: GGA-PBE
Structure: relaxed

Output
Symmetry ... R-3m (166)
DFT formation energy ... 1.99 eV per formula unit
ΔE to the lowest computed polymorph ... 57 kJ/mol of formula units
Total energy ... -81.654 eV for the cell shown
V ... 12.97 Å³/atom
N(E_F) ... 14.21 states/eV per cell

Geometry as CIF:
```
data_Cr2CoAg
_chemical_formula_sum 'Cr6 Co3 Ag3'
_cell_length_a 2.608
_cell_length_b 2.608
_cell_length_c 26.428
_cell_angle_alpha 90.00
_cell_angle_beta 90.00
_cell_angle_gamma 120.00
_space_group_name_H-M_alt 'P 1'
_space_group_IT_number 1
loop_
_space_group_symop_operation_xyz
'x,y,z'
loop_
_atom_site_label
_atom_site_type_symbol
_atom_site_fract_x
_atom_site_fract_y
_atom_site_fract_z
Cr1 Cr 0.000 0.000 0.241
Cr2 Cr 0.000 0.000 0.759
Cr3 Cr 0.333 0.667 0.426
Cr4 Cr 0.333 0.667 0.908
Cr5 Cr 0.667 0.333 0.092
Cr6 Cr 0.667 0.333 0.574
Co1 Co 0.000 0.000 0.500
Co2 Co 0.333 0.667 0.167
Co3 Co 0.667 0.333 0.833
Ag1 Ag 0.000 0.000 0.000
Ag2 Ag 0.333 0.667 0.667
Ag3 Ag 0.667 0.333 0.333
```